Material: Ba2SrTc
Method: DFT, GGA-PBE
State: optimized geometry Values from VASP.

Output
offset from the most stable computed form: 0.04 eV per formula unit
size of the total moment: 2.1 μB per cell
V: 165.8 Å³/cell
formation energy: 0.667 eV/atom

Quantum ESPRESSO input file:
```
&SYSTEM
  ibrav = 0, nat = 4, ntyp = 3
/
ATOMIC_SPECIES
Ba 137.33 Ba.upf
Sr 87.62 Sr.upf
Tc 98.00 Tc.upf
CELL_PARAMETERS angstrom
3.8557 0.0000 0.0000
0.0000 3.8561 0.0000
-0.0009 0.0000 11.1534
ATOMIC_POSITIONS crystal
Ba 0.0000 0.0000 0.0000
Ba 0.5003 0.5000 0.3367
Sr 0.9985 0.0000 0.6580
Tc 0.4987 0.5000 0.8236
```



Material: BaSr2Tc
Method: DFT, GGA-PBE
State: optimized geometry Values from VASP.

Output
offset from the most stable computed form: 1.23 eV per formula unit
size of the total moment: 4.7 μB per cell
V: 301.1 Å³/cell
formation energy: 0.944 eV/atom

Quantum ESPRESSO input file:
```
&SYSTEM
  ibrav = 0, nat = 8, ntyp = 3
/
ATOMIC_SPECIES
Ba 137.33 Ba.upf
Sr 87.62 Sr.upf
Tc 98.00 Tc.upf
CELL_PARAMETERS angstrom
7.2001 0.0000 0.0000
0.0000 11.9680 0.0000
-1.4817 0.0000 3.4936
ATOMIC_POSITIONS crystal
Ba 0.0000 0.0000 0.0000
Ba 0.5000 0.5000 0.0000
Sr 0.2500 0.2500 0.5000
Sr 0.2500 0.7500 0.5000
Sr 0.7500 0.2500 0.5000
Sr 0.7500 0.7500 0.5000
Tc 0.0000 0.5000 0.0000
Tc 0.5000 0.0000 0.0000
```



Material: Ba2SrTc
Method: DFT, GGA-PBE
State: optimized geometry Values from VASP.

Output
offset from the most stable computed form: 0.06 eV per formula unit
size of the total moment: 2.1 μB per cell
V: 331.7 Å³/cell
formation energy: 0.673 eV/atom

Quantum ESPRESSO input file:
```
&SYSTEM
  ibrav = 0, nat = 8, ntyp = 3
/
ATOMIC_SPECIES
Ba 137.33 Ba.upf
Sr 87.62 Sr.upf
Tc 98.00 Tc.upf
CELL_PARAMETERS angstrom
3.8081 0.0000 0.0000
0.0000 6.1442 0.0000
0.0000 0.0000 14.1756
ATOMIC_POSITIONS crystal
Ba 0.0000 0.0000 0.0000
Ba 0.0000 0.5000 0.1739
Ba 0.5000 0.0000 0.6739
Ba 0.5000 0.5000 0.5000
Sr 0.0000 0.0000 0.3451
Sr 0.5000 0.5000 0.8451
Tc 0.0000 0.5000 0.6703
Tc 0.5000 0.0000 0.1703
```